[1]
Below is an optimized crystal structure of YTa3, with properties calculated at the PBE level.

abc: 2.883 2.883 9.936
angles: 90.00 90.00 90.00
Space group P4/mmm (No. 123)
Asymmetric unit:
1 Y 0.000 0.000 0.000 x1
2 Ta 0.000 0.000 0.500 x1
3 Ta 0.500 0.500 0.271 x2

Calculated values
Its excess energy over the best structure of this formula in the dataset is 138 meV per atom. The density of states at the Fermi level comes out at 6.11 states/eV/cell. The total magnetization comes out at 0.00 μB/f.u. The total energy is -40.5 eV/cell. For the formation energy, the calculation gives 0.38 eV per atom.

[2]
Below is an optimized crystal structure of YTa3, with properties calculated at the PBE level.

abc: 9.8425 9.8425 2.8913
angles: 90.00 90.00 120.00
Space group R-3m (No. 166, hexagonal axes)
Asymmetric unit:
1 Y 0.0000 0.0000 0.0000 x3
2 Ta 0.0000 0.5000 0.0000 x9

Calculated values
Its excess energy over the best structure of this formula in the dataset is 167 meV per atom. The density of states at the Fermi level comes out at 18.01 states/eV/cell. The total magnetization comes out at 0.00 μB/f.u. The total energy is -121.1 eV/cell. For the formation energy, the calculation gives 0.41 eV per atom.

[3]
Below is an optimized crystal structure of Y2Ta, with properties calculated at the PBE level.

abc: 7.165 7.165 7.165
angles: 90.00 90.00 90.00
Space group Pa-3 (No. 205)
Asymmetric unit:
1 Y 0.172 0.172 0.172 x8
2 Ta 0.000 0.000 0.500 x4

Calculated values
Its excess energy over the best structure of this formula in the dataset is 765 meV per atom. The density of states at the Fermi level comes out at 13.58 states/eV/cell. The total magnetization comes out at 1.80 μB/f.u. The total energy is -87.5 eV/cell. For the formation energy, the calculation gives 0.97 eV per atom.

[4]
Below is an optimized crystal structure of Y2Ta, with properties calculated at the PBE level.

abc: 12.103 3.684 7.882
angles: 90.00 109.48 90.00
Space group C2/m (No. 12)
Asymmetric unit:
1 Y 0.018 0.000 0.216 x4
2 Y 0.177 0.500 0.638 x4
3 Ta 0.178 0.500 0.035 x4

Calculated values
Its excess energy over the best structure of this formula in the dataset is 0 meV per atom. The density of states at the Fermi level comes out at 14.08 states/eV/cell. The total magnetization comes out at 0.00 μB/f.u. The total energy is -96.6 eV/cell. For the formation energy, the calculation gives 0.21 eV per atom.

[5]
Below is an optimized crystal structure of YTa3, with properties calculated at the PBE level.

abc: 4.117 4.117 19.908
angles: 90.00 90.00 90.00
Space group I4/mmm (No. 139)
Asymmetric unit:
1 Y 0.000 0.000 0.130 x4
2 Ta 0.000 0.000 0.395 x4
3 Ta 0.000 0.500 0.000 x4
4 Ta 0.000 0.500 0.250 x4

Calculated values
Its excess energy over the best structure of this formula in the dataset is 262 meV per atom. The density of states at the Fermi level comes out at 14.67 states/eV/cell. The total magnetization comes out at 0.00 μB/f.u. The total energy is -160.0 eV/cell. For the formation energy, the calculation gives 0.51 eV per atom.

[6]
Below is an optimized crystal structure of YTa3, with properties calculated at the PBE level.

abc: 2.971 4.778 5.978
angles: 90.00 100.54 90.00
Space group P2/m (No. 10)
Asymmetric unit:
1 Y 0.000 0.000 0.000 x1
2 Ta 0.283 0.500 0.713 x2
3 Ta 0.500 0.000 0.500 x1

Calculated values
Its excess energy over the best structure of this formula in the dataset is 85 meV per atom. The density of states at the Fermi level comes out at 5.53 states/eV/cell. The total magnetization comes out at 0.00 μB/f.u. The total energy is -40.7 eV/cell. For the formation energy, the calculation gives 0.33 eV per atom.

[7]
Below is an optimized crystal structure of YTa, with properties calculated at the PBE level.

abc: 3.1927 3.1927 10.6022
angles: 90.00 90.00 120.00
Space group P6_3/mmc (No. 194)
Asymmetric unit:
1 Y 0.0000 0.0000 0.0000 x2
2 Ta 0.3333 0.6667 0.2500 x2

Calculated values
Its excess energy over the best structure of this formula in the dataset is 356 meV per atom. The density of states at the Fermi level comes out at 5.74 states/eV/cell. The total magnetization comes out at 0.00 μB/f.u. The total energy is -34.5 eV/cell. For the formation energy, the calculation gives 0.54 eV per atom.

[8]
Below is an optimized crystal structure of Y2Ta, with properties calculated at the PBE level.

abc: 3.316 4.436 10.663
angles: 90.00 90.00 90.00
Space group Immm (No. 71)
Asymmetric unit:
1 Y 0.000 0.000 0.151 x4
2 Ta 0.000 0.000 0.500 x2

Calculated values
Its excess energy over the best structure of this formula in the dataset is 197 meV per atom. The density of states at the Fermi level comes out at 7.14 states/eV/cell. The total magnetization comes out at 0.00 μB/f.u. The total energy is -47.1 eV/cell. For the formation energy, the calculation gives 0.40 eV per atom.